Here is a geometry-optimized UCr2RuO8 structure from Alexandria via LeMat-Bulk. Energies are from PBE with a Hubbard U.

Cell: 4.7377 4.7377 6.2055 Å, 90.00 90.00 91.51°
Last column: nearest neighbours and their distance in Å.
Fractional positions:
U 0.0000 0.0000 0.0000  6 O 2.06-2.12
Cr 0.5000 0.5000 0.2619  6 O 1.99-2.05
Cr 0.5000 0.5000 0.7381  6 O 1.99-2.05
Ru 0.0000 0.0000 0.5000  6 O 1.98-2.03
O 0.2029 0.7971 0.2587  1 Cr 2.02, 1 Ru 2.03, 1 U 2.12
O 0.2029 0.7971 0.7413  1 Cr 2.02, 1 Ru 2.03, 1 U 2.12
O 0.2993 0.2993 0.5000  1 Ru 1.98, 2 Cr 1.99
O 0.3110 0.3110 0.0000  2 Cr 2.05, 1 U 2.06
O 0.6890 0.6890 0.0000  2 Cr 2.05, 1 U 2.06
O 0.7007 0.7007 0.5000  1 Ru 1.98, 2 Cr 1.99
O 0.7971 0.2029 0.2587  1 Cr 2.02, 1 Ru 2.03, 1 U 2.12
O 0.7971 0.2029 0.7413  1 Cr 2.02, 1 Ru 2.03, 1 U 2.12

Output
- crystal system = orthorhombic
- total energy (eV/atom) = -8.331
- space group = Cmmm, No. 65